First-principles (GGA-PBE) data for a relaxed PrPd3Pb3 crystal, as listed in the Alexandria database.

## Properties
DOS at the Fermi energy in states/eV/f.u.: 2.1
Formation energy from the elements in eV/atom: -0.36
Energy relative to the lowest polymorph listed for this composition in eV/f.u.: 0.31

Cell: 7.463 7.463 7.463 Å, 71.15 71.15 71.15°
Positions (direct):
1 Pr 0.165 0.165 0.165
2 Pr 0.835 0.835 0.835
3 Pd 0.063 0.806 0.440
4 Pd 0.194 0.560 0.937
5 Pd 0.440 0.063 0.806
6 Pd 0.560 0.937 0.194
7 Pd 0.806 0.440 0.063
8 Pd 0.937 0.194 0.560
9 Pb 0.119 0.389 0.681
10 Pb 0.319 0.881 0.611
11 Pb 0.389 0.681 0.119
12 Pb 0.611 0.319 0.881
13 Pb 0.681 0.119 0.389
14 Pb 0.881 0.611 0.319

=====

First-principles (GGA-PBE) data for a relaxed SmMgTlCl6 crystal, as listed in the Alexandria database.

## Properties
DOS at the Fermi energy in states/eV/f.u.: 0.0
Uncorrected formation energy in meV per atom: -1871

Cell: 6.890 6.890 14.027 Å, 90.00 90.00 120.00°
Positions (direct):
1 Sm 0.333 0.667 0.250
2 Sm 0.667 0.333 0.750
3 Mg 0.333 0.667 0.750
4 Mg 0.667 0.333 0.250
5 Tl 0.000 0.000 0.000
6 Tl 0.000 0.000 0.500
7 Cl 0.020 0.384 0.644
8 Cl 0.020 0.636 0.856
9 Cl 0.364 0.384 0.856
10 Cl 0.364 0.980 0.644
11 Cl 0.384 0.020 0.144
12 Cl 0.384 0.364 0.356
13 Cl 0.616 0.636 0.644
14 Cl 0.616 0.980 0.856
15 Cl 0.636 0.020 0.356
16 Cl 0.636 0.616 0.144
17 Cl 0.980 0.364 0.144
18 Cl 0.980 0.616 0.356

=====

First-principles (GGA-PBE) data for a relaxed EuTlPt crystal, as listed in the Alexandria database.

## Properties
DOS at the Fermi energy in states/eV/f.u.: 9.5
Formation energy from the elements in eV/atom: -0.55

Cell: 4.796 4.796 3.811 Å, 90.00 90.00 120.00°
Positions (direct):
1 Eu 0.000 0.000 0.000
2 Tl 0.333 0.667 0.500
3 Pt 0.667 0.333 0.500

=====

First-principles (GGA-PBE) data for a relaxed BaMnTc crystal, as listed in the Alexandria database.

## Properties
DOS at the Fermi energy in states/eV/f.u.: 5.5
Formation energy from the elements in eV/atom: 2.02
Energy relative to the lowest polymorph listed for this composition in eV/f.u.: 4.11

Cell: 6.823 6.823 6.823 Å, 90.00 90.00 90.00°
Positions (direct):
1 Ba 0.000 0.000 0.000
2 Ba 0.000 0.500 0.500
3 Ba 0.500 0.000 0.500
4 Ba 0.500 0.500 0.000
5 Mn 0.250 0.250 0.250
6 Mn 0.250 0.750 0.750
7 Mn 0.750 0.250 0.750
8 Mn 0.750 0.750 0.250
9 Tc 0.250 0.250 0.750
10 Tc 0.250 0.750 0.250
11 Tc 0.750 0.250 0.250
12 Tc 0.750 0.750 0.750

=====

First-principles (GGA-PBE) data for a relaxed FeHg2Rh crystal, as listed in the Alexandria database.

## Properties
DOS at the Fermi energy in states/eV/f.u.: 3.5
Formation energy from the elements in eV/atom: 0.18
Energy relative to the lowest polymorph listed for this composition in eV/f.u.: 0.00

Cell: 3.064 3.064 7.629 Å, 90.00 90.00 90.00°
Positions (direct):
1 Fe 0.000 0.000 0.000
2 Hg 0.000 0.000 0.569
3 Hg 0.500 0.500 0.243
4 Rh 0.500 0.500 0.825

=====

First-principles (GGA-PBE) data for a relaxed CaTcHg2 crystal, as listed in the Alexandria database.

## Properties
DOS at the Fermi energy in states/eV/f.u.: 7.5
Formation energy from the elements in eV/atom: 0.49
Energy relative to the lowest polymorph listed for this composition in eV/f.u.: 1.03

Cell: 7.087 7.087 7.087 Å, 90.00 90.00 90.00°
Positions (direct):
1 Ca 0.000 0.000 0.000
2 Ca 0.000 0.500 0.500
3 Ca 0.500 0.000 0.500
4 Ca 0.500 0.500 0.000
5 Tc 0.250 0.250 0.750
6 Tc 0.250 0.750 0.250
7 Tc 0.750 0.250 0.250
8 Tc 0.750 0.750 0.750
9 Hg 0.000 0.000 0.500
10 Hg 0.000 0.500 0.000
11 Hg 0.250 0.250 0.250
12 Hg 0.250 0.750 0.750
13 Hg 0.500 0.000 0.000
14 Hg 0.500 0.500 0.500
15 Hg 0.750 0.250 0.750
16 Hg 0.750 0.750 0.250

=====

First-principles (GGA-PBE) data for a relaxed KYMgI6 crystal, as listed in the Alexandria database.

## Properties
DOS at the Fermi energy in states/eV/f.u.: 0.0
Uncorrected formation energy in meV per atom: -1295

Cell: 7.736 7.736 15.729 Å, 90.00 90.00 120.00°
Positions (direct):
1 K 0.000 0.000 0.000
2 K 0.000 0.000 0.500
3 Y 0.333 0.667 0.250
4 Y 0.667 0.333 0.750
5 Mg 0.333 0.667 0.750
6 Mg 0.667 0.333 0.250
7 I 0.009 0.373 0.640
8 I 0.009 0.636 0.860
9 I 0.364 0.373 0.860
10 I 0.364 0.991 0.640
11 I 0.373 0.009 0.140
12 I 0.373 0.364 0.360
13 I 0.627 0.636 0.640
14 I 0.627 0.991 0.860
15 I 0.636 0.009 0.360
16 I 0.636 0.627 0.140
17 I 0.991 0.364 0.140
18 I 0.991 0.627 0.360

=====

First-principles (GGA-PBE) data for a relaxed TbMgPb3 crystal, as listed in the Alexandria database.

## Properties
DOS at the Fermi energy in states/eV/f.u.: 2.3
Formation energy from the elements in eV/atom: -0.24
Energy relative to the lowest polymorph listed for this composition in eV/f.u.: 0.00

Cell: 6.494 13.434 6.410 Å, 90.00 90.14 90.00°
Positions (direct):
1 Tb 0.249 0.192 0.000
2 Tb 0.249 0.808 0.500
3 Tb 0.751 0.192 0.500
4 Tb 0.751 0.808 0.000
5 Mg 0.000 0.382 0.250
6 Mg 0.000 0.618 0.750
7 Mg 0.500 0.382 0.250
8 Mg 0.500 0.618 0.750
9 Pb 0.000 0.001 0.250
10 Pb 0.000 0.999 0.750
11 Pb 0.250 0.423 0.815
12 Pb 0.250 0.577 0.315
13 Pb 0.251 0.225 0.505
14 Pb 0.251 0.775 0.005
15 Pb 0.500 0.001 0.250
16 Pb 0.500 0.999 0.750
17 Pb 0.749 0.225 0.995
18 Pb 0.749 0.775 0.495
19 Pb 0.750 0.423 0.685
20 Pb 0.750 0.577 0.185

=====

First-principles (GGA-PBE) data for a relaxed Al2VC crystal, as listed in the Alexandria database.

## Properties
DOS at the Fermi energy in states/eV/f.u.: 2.4
Formation energy from the elements in eV/atom: 0.26

Cell: 6.933 6.933 4.311 Å, 90.00 90.00 90.00°
Positions (direct):
1 Al 0.147 0.750 0.125
2 Al 0.250 0.147 0.875
3 Al 0.250 0.353 0.375
4 Al 0.353 0.750 0.625
5 Al 0.647 0.250 0.625
6 Al 0.750 0.647 0.375
7 Al 0.750 0.853 0.875
8 Al 0.853 0.250 0.125
9 V 0.000 0.000 0.500
10 V 0.000 0.500 0.750
11 V 0.500 0.000 0.250
12 V 0.500 0.500 0.000
13 C 0.000 0.000 0.000
14 C 0.000 0.500 0.250
15 C 0.500 0.000 0.750
16 C 0.500 0.500 0.500

=====

First-principles (GGA-PBE) data for a relaxed NdNiAs crystal, as listed in the Alexandria database.

## Properties
DOS at the Fermi energy in states/eV/f.u.: 1.4
Formation energy from the elements in eV/atom: -0.42

Cell: 4.017 4.017 8.128 Å, 90.00 90.00 90.00°
Positions (direct):
1 Nd 0.000 0.000 0.000
2 Nd 0.500 0.500 0.500
3 Ni 0.000 0.000 0.365
4 Ni 0.500 0.500 0.865
5 As 0.000 0.000 0.649
6 As 0.500 0.500 0.149

=====

First-principles (GGA-PBE) data for a relaxed K6Sr crystal, as listed in the Alexandria database.

## Properties
DOS at the Fermi energy in states/eV/f.u.: 6.6
Formation energy from the elements in eV/atom: 0.39

Cell: 10.730 10.730 10.730 Å, 90.00 90.00 90.00°
Positions (direct):
1 K 0.000 0.250 0.500
2 K 0.000 0.500 0.250
3 K 0.000 0.500 0.750
4 K 0.000 0.750 0.500
5 K 0.250 0.000 0.500
6 K 0.250 0.500 0.000
7 K 0.500 0.000 0.250
8 K 0.500 0.000 0.750
9 K 0.500 0.250 0.000
10 K 0.500 0.750 0.000
11 K 0.750 0.000 0.500
12 K 0.750 0.500 0.000
13 Sr 0.000 0.000 0.000
14 Sr 0.500 0.500 0.500

=====

First-principles (GGA-PBE) data for a relaxed SrAlRh3 crystal, as listed in the Alexandria database.

## Properties
DOS at the Fermi energy in states/eV/f.u.: 5.2
Formation energy from the elements in eV/atom: -0.07
Energy relative to the lowest polymorph listed for this composition in eV/f.u.: 0.00

Cell: 4.626 4.626 4.626 Å, 90.00 90.00 90.00°
Positions (direct):
1 Sr 0.000 0.000 0.000
2 Al 0.500 0.500 0.500
3 Rh 0.000 0.500 0.500
4 Rh 0.500 0.000 0.500
5 Rh 0.500 0.500 0.000

=====

First-principles (GGA-PBE) data for a relaxed Nd8CuRh3Cl4 crystal, as listed in the Alexandria database.

## Properties
DOS at the Fermi energy in states/eV/f.u.: 9.6
Uncorrected formation energy in meV per atom: -1063

Cell: 8.226 8.226 8.908 Å, 117.55 117.55 60.01°
Positions (direct):
1 Nd 0.230 0.738 0.705
2 Nd 0.236 0.236 0.708
3 Nd 0.262 0.262 0.295
4 Nd 0.262 0.770 0.295
5 Nd 0.738 0.230 0.705
6 Nd 0.738 0.738 0.705
7 Nd 0.764 0.764 0.292
8 Nd 0.770 0.262 0.295
9 Cu 0.500 0.500 0.500
10 Rh 0.000 0.000 0.500
11 Rh 0.000 0.500 0.500
12 Rh 0.500 0.000 0.500
13 Cl 0.000 0.000 0.000
14 Cl 0.000 0.500 0.000
15 Cl 0.500 0.000 0.000
16 Cl 0.500 0.500 0.000

=====

First-principles (GGA-PBE) data for a relaxed CuAuBrF2 crystal, as listed in the Alexandria database.

## Properties
DOS at the Fermi energy in states/eV/f.u.: 2.2
Energy relative to the lowest polymorph listed for this composition in eV/f.u.: 0.06
Uncorrected formation energy in meV per atom: -791

Cell: 3.827 3.827 6.364 Å, 90.00 90.00 90.00°
Positions (direct):
1 Cu 0.000 0.000 0.000
2 Au 0.500 0.500 0.500
3 Br 0.000 0.000 0.500
4 F 0.000 0.500 0.000
5 F 0.500 0.000 0.000

=====

First-principles (GGA-PBE) data for a relaxed Li2CrSb crystal, as listed in the Alexandria database.

## Properties
DOS at the Fermi energy in states/eV/f.u.: 1.7
Uncorrected formation energy in meV per atom: 35

Cell: 3.176 4.004 5.952 Å, 90.00 90.05 90.00°
Positions (direct):
1 Li 0.000 0.000 0.000
2 Li 0.498 0.500 0.247
3 Cr 0.501 0.500 0.735
4 Sb 0.000 0.000 0.514

=====

First-principles (GGA-PBE) data for a relaxed Np2TaTiN4 crystal, as listed in the Alexandria database.

## Properties
DOS at the Fermi energy in states/eV/f.u.: 9.9
Uncorrected formation energy in meV per atom: -1275

Cell: 5.536 3.190 5.766 Å, 90.00 108.56 90.00°
Positions (direct):
1 Np 0.000 0.000 0.000
2 Np 0.500 0.500 0.000
3 Ta 0.000 0.500 0.500
4 Ti 0.500 0.000 0.500
5 N 0.241 0.000 0.716
6 N 0.263 0.500 0.284
7 N 0.737 0.500 0.716
8 N 0.759 0.000 0.284

=====

First-principles (GGA-PBE) data for a relaxed AcYHo2S6 crystal, as listed in the Alexandria database.

## Properties
DOS at the Fermi energy in states/eV/f.u.: 0.0
Uncorrected formation energy in meV per atom: -2078

Cell: 7.411 7.411 7.411 Å, 56.93 56.93 56.93°
Positions (direct):
1 Ac 0.000 0.000 0.000
2 Y 0.485 0.485 0.485
3 Ho 0.282 0.282 0.282
4 Ho 0.789 0.789 0.789
5 S 0.074 0.644 0.431
6 S 0.183 0.571 0.891
7 S 0.431 0.074 0.644
8 S 0.571 0.891 0.183
9 S 0.644 0.431 0.074
10 S 0.891 0.183 0.571

=====

First-principles (GGA-PBE) data for a relaxed Na3PIr crystal, as listed in the Alexandria database.

## Properties
DOS at the Fermi energy in states/eV/f.u.: 8.3
Formation energy from the elements in eV/atom: 1.04
Energy relative to the lowest polymorph listed for this composition in eV/f.u.: 0.70

Cell: 5.451 5.451 5.451 Å, 90.00 90.00 90.00°
Positions (direct):
1 Na 0.000 0.000 0.500
2 Na 0.000 0.500 0.000
3 Na 0.500 0.000 0.000
4 P 0.500 0.500 0.500
5 Ir 0.000 0.000 0.000

=====

First-principles (GGA-PBE) data for a relaxed TeH3Os crystal, as listed in the Alexandria database.

## Properties
DOS at the Fermi energy in states/eV/f.u.: 2.0
Energy relative to the lowest polymorph listed for this composition in eV/f.u.: 0.00

Cell: 3.685 3.685 3.685 Å, 90.00 90.00 90.00°
Positions (direct):
1 Te 0.000 0.000 0.000
2 H 0.000 0.500 0.500
3 H 0.500 0.000 0.500
4 H 0.500 0.500 0.000
5 Os 0.500 0.500 0.500

=====

First-principles (GGA-PBE) data for a relaxed KLaHfSnO6 crystal, as listed in the Alexandria database.

## Properties
DOS at the Fermi energy in states/eV/f.u.: 0.0
Uncorrected formation energy in meV per atom: -2629

Cell: 5.815 5.815 5.815 Å, 60.00 60.00 60.00°
Positions (direct):
1 K 0.000 0.000 0.000
2 La 0.500 0.500 0.500
3 Hf 0.250 0.250 0.250
4 Sn 0.750 0.750 0.750
5 O 0.000 0.000 0.500
6 O 0.000 0.500 0.000
7 O 0.000 0.500 0.500
8 O 0.500 0.000 0.000
9 O 0.500 0.000 0.500
10 O 0.500 0.500 0.000

=====

First-principles (GGA-PBE) data for a relaxed Na2Cd4Ag crystal, as listed in the Alexandria database.

## Properties
DOS at the Fermi energy in states/eV/f.u.: 4.0
Formation energy from the elements in eV/atom: 0.13
Energy relative to the lowest polymorph listed for this composition in eV/f.u.: 1.11

Cell: 5.309 5.309 15.715 Å, 90.00 90.00 90.00°
Positions (direct):
1 Na 0.000 0.000 0.127
2 Na 0.000 0.000 0.873
3 Na 0.500 0.500 0.373
4 Na 0.500 0.500 0.627
5 Cd 0.000 0.000 0.322
6 Cd 0.000 0.000 0.678
7 Cd 0.000 0.500 0.000
8 Cd 0.000 0.500 0.500
9 Cd 0.500 0.000 0.000
10 Cd 0.500 0.000 0.500
11 Cd 0.500 0.500 0.178
12 Cd 0.500 0.500 0.822
13 Ag 0.000 0.000 0.500
14 Ag 0.500 0.500 0.000

=====

The records above give, respectively, raw total energy values of -4.861 -4.066 -6.778 -5.130 -3.929 -2.754 -3.345 -3.707 -6.195 -5.491 -0.792 -5.563 -5.543 -3.349 -4.358 -11.141 -6.527 -2.607 -4.195 -7.602 -1.178 eV/atom.
The records above give, respectively, volume values of 360.9 576.6 75.9 317.6 71.6 356.0 815.3 559.1 207.2 131.2 1235.2 99.0 441.4 93.2 75.7 96.5 267.5 161.9 50.0 139.0 442.9 Å³/cell.